Material: HfNb3Ge
Method: DFT, SCAN
State: single point on PBEsol structure

## Properties
The value obtained for the total energy is -173.32 eV/cell. As for the formation enthalpy at 0 K: 1.57 eV per atom.

```
data_HfNb3Ge
_chemical_formula_sum 'Hf1 Nb3 Ge1'
_space_group_name_H-M_alt 'P m -3 m'
_space_group_IT_number 221
_space_group_name_Hall '-P 4 2 3'
_cell_length_a 4.8271
_cell_length_b 4.8271
_cell_length_c 4.8271
_cell_angle_alpha 90.00
_cell_angle_beta 90.00
_cell_angle_gamma 90.00
loop_
_atom_site_label
_atom_site_fract_x
_atom_site_fract_y
_atom_site_fract_z
Hf1 0.0000 0.0000 0.0000
Nb1 0.0000 0.0000 0.5000
Ge1 0.5000 0.5000 0.5000
```

=====

Material: Ca3ZrPb
Method: DFT, SCAN
State: single point on PBEsol structure

## Properties
The value obtained for the total energy is -131.39 eV/cell. As for the formation enthalpy at 0 K: 0.82 eV per atom.

```
data_Ca3ZrPb
_chemical_formula_sum 'Ca3 Zr1 Pb1'
_space_group_name_H-M_alt 'P m -3 m'
_space_group_IT_number 221
_space_group_name_Hall '-P 4 2 3'
_cell_length_a 5.5566
_cell_length_b 5.5566
_cell_length_c 5.5566
_cell_angle_alpha 90.00
_cell_angle_beta 90.00
_cell_angle_gamma 90.00
loop_
_atom_site_label
_atom_site_fract_x
_atom_site_fract_y
_atom_site_fract_z
Ca1 0.0000 0.0000 0.5000
Zr1 0.0000 0.0000 0.0000
Pb1 0.5000 0.5000 0.5000
```

=====

Material: AsIrBr2
Method: DFT, SCAN
State: single point on PBEsol structure

## Properties
Its formation energy (no corrections) is 63 meV/atom. The value obtained for the total energy is -129.96 eV/cell.

```
data_AsIrBr2
_chemical_formula_sum 'As1 Ir1 Br2'
_space_group_name_H-M_alt 'P 4 m m'
_space_group_IT_number 99
_space_group_name_Hall 'P 4 -2'
_cell_length_a 3.5391
_cell_length_b 3.5391
_cell_length_c 7.5970
_cell_angle_alpha 90.00
_cell_angle_beta 90.00
_cell_angle_gamma 90.00
loop_
_atom_site_label
_atom_site_fract_x
_atom_site_fract_y
_atom_site_fract_z
As1 0.0000 0.0000 0.0000
Ir1 0.5000 0.5000 0.0384
Br1 0.0000 0.0000 0.6867
Br2 0.5000 0.5000 0.3524
```

=====

Material: Tl2BiSb2
Method: DFT, SCAN
State: single point on PBEsol structure

## Properties
Its formation energy (no corrections) is 217 meV/atom. The value obtained for the total energy is -593.46 eV/cell.

```
data_Tl2BiSb2
_chemical_formula_sum 'Tl4 Bi2 Sb4'
_space_group_name_H-M_alt 'I 4/m m m'
_space_group_IT_number 139
_space_group_name_Hall '-I 4 2'
_cell_length_a 4.2959
_cell_length_b 4.2959
_cell_length_c 16.1627
_cell_angle_alpha 90.00
_cell_angle_beta 90.00
_cell_angle_gamma 90.00
loop_
_atom_site_label
_atom_site_fract_x
_atom_site_fract_y
_atom_site_fract_z
Tl1 0.0000 0.5000 0.2500
Bi1 0.0000 0.0000 0.0000
Sb1 0.0000 0.0000 0.4082
```

=====

Material: Mn2ReNi
Method: DFT, SCAN
State: single point on PBEsol structure

## Properties
The value obtained for the total energy is -124.02 eV/cell. As for the formation enthalpy at 0 K: -0.06 eV per atom.

```
data_Mn2ReNi
_chemical_formula_sum 'Mn2 Re1 Ni1'
_space_group_name_H-M_alt 'P m m 2'
_space_group_IT_number 25
_space_group_name_Hall 'P 2 -2'
_cell_length_a 2.5545
_cell_length_b 3.5982
_cell_length_c 5.0778
_cell_angle_alpha 90.00
_cell_angle_beta 90.00
_cell_angle_gamma 90.00
loop_
_atom_site_label
_atom_site_fract_x
_atom_site_fract_y
_atom_site_fract_z
Mn1 0.0000 0.0000 0.0000
Mn2 0.5000 0.5000 0.2290
Re1 0.5000 0.5000 0.7355
Ni1 0.0000 0.0000 0.4785
```

=====

Material: CsNbIN2
Method: DFT, SCAN
State: single point on PBEsol structure

## Properties
Its formation energy (no corrections) is 198 meV/atom. The value obtained for the total energy is -125.28 eV/cell.

```
data_CsNbIN2
_chemical_formula_sum 'Cs1 Nb1 I1 N2'
_space_group_name_H-M_alt 'P 4/m m m'
_space_group_IT_number 123
_space_group_name_Hall '-P 4 2'
_cell_length_a 4.3859
_cell_length_b 4.3859
_cell_length_c 5.6357
_cell_angle_alpha 90.00
_cell_angle_beta 90.00
_cell_angle_gamma 90.00
loop_
_atom_site_label
_atom_site_fract_x
_atom_site_fract_y
_atom_site_fract_z
Cs1 0.0000 0.0000 0.0000
Nb1 0.5000 0.5000 0.5000
I1 0.5000 0.5000 0.0000
N1 0.0000 0.5000 0.5000
```

=====

Material: NaTaCl6
Method: DFT, SCAN
State: single point on PBEsol structure

## Properties
Its formation energy (no corrections) is -1619 meV/atom. The value obtained for the total energy is -526.47 eV/cell.

```
data_NaTaCl6
_chemical_formula_sum 'Na4 Ta4 Cl24'
_space_group_name_H-M_alt 'P 1 21/c 1'
_space_group_IT_number 14
_space_group_name_Hall '-P 2ybc'
_cell_length_a 6.5220
_cell_length_b 6.8645
_cell_length_c 18.9298
_cell_angle_alpha 90.00
_cell_angle_beta 92.13
_cell_angle_gamma 90.00
loop_
_atom_site_label
_atom_site_fract_x
_atom_site_fract_y
_atom_site_fract_z
Na1 0.2098 0.1864 0.2578
Ta1 0.2613 0.7158 0.6165
Cl1 0.0334 0.0360 0.8449
Cl2 0.0860 0.0036 0.6564
Cl3 0.1157 0.7442 0.0066
Cl4 0.3837 0.6862 0.7403
Cl5 0.4148 0.0757 0.0925
Cl6 0.4513 0.1021 0.4045
```

=====

Material: MgTlRu
Method: DFT, SCAN
State: single point on PBEsol structure

## Properties
The value obtained for the total energy is -440.77 eV/cell. As for the formation enthalpy at 0 K: 0.66 eV per atom.

```
data_MgTlRu
_chemical_formula_sum 'Mg4 Tl4 Ru4'
_space_group_name_H-M_alt 'F -4 3 m'
_space_group_IT_number 216
_space_group_name_Hall 'F -4 2 3'
_cell_length_a 6.1636
_cell_length_b 6.1636
_cell_length_c 6.1636
_cell_angle_alpha 90.00
_cell_angle_beta 90.00
_cell_angle_gamma 90.00
loop_
_atom_site_label
_atom_site_fract_x
_atom_site_fract_y
_atom_site_fract_z
Mg1 0.0000 0.0000 0.0000
Tl1 0.2500 0.2500 0.2500
Ru1 0.2500 0.2500 0.7500
```

=====

Material: TcSb2Pt
Method: DFT, SCAN
State: single point on PBEsol structure

## Properties
Its formation energy (no corrections) is 199 meV/atom. The value obtained for the total energy is -357.96 eV/cell.

```
data_TcSb2Pt
_chemical_formula_sum 'Tc2 Sb4 Pt2'
_space_group_name_H-M_alt 'C m m m'
_space_group_IT_number 65
_space_group_name_Hall '-C 2 2'
_cell_length_a 6.4458
_cell_length_b 6.5539
_cell_length_c 3.3883
_cell_angle_alpha 90.00
_cell_angle_beta 90.00
_cell_angle_gamma 90.00
loop_
_atom_site_label
_atom_site_fract_x
_atom_site_fract_y
_atom_site_fract_z
Tc1 0.0000 0.0000 0.0000
Sb1 0.2500 0.2500 0.5000
Pt1 0.0000 0.5000 0.0000
```

=====

Material: Li5SbS
Method: DFT, SCAN
State: single point on PBEsol structure

## Properties
Its formation energy (no corrections) is -952 meV/atom. The value obtained for the total energy is -262.01 eV/cell.

```
data_Li5SbS
_chemical_formula_sum 'Li20 Sb4 S4'
_space_group_name_H-M_alt 'P 1 21 1'
_space_group_IT_number 4
_space_group_name_Hall 'P 2yb'
_cell_length_a 7.8267
_cell_length_b 7.9022
_cell_length_c 8.4482
_cell_angle_alpha 90.00
_cell_angle_beta 91.63
_cell_angle_gamma 90.00
loop_
_atom_site_label
_atom_site_fract_x
_atom_site_fract_y
_atom_site_fract_z
Li1 0.0032 0.0005 0.4753
Li2 0.0056 0.0000 0.0380
Li3 0.1555 0.3211 0.2314
Li4 0.1559 0.6803 0.2313
Li5 0.2678 0.6748 0.7863
Li6 0.2694 0.3265 0.7863
Li7 0.3399 0.1585 0.4803
Li8 0.3399 0.8433 0.4802
Li9 0.3871 0.0016 0.0572
Li10 0.4835 0.4998 0.2364
Sb1 0.1724 0.0009 0.7628
Sb2 0.3340 0.5009 0.5089
S1 0.1867 0.0009 0.2633
S2 0.2993 0.5007 0.0150
```

=====

Material: TaCd2Te
Method: DFT, SCAN
State: single point on PBEsol structure

## Properties
Its formation energy (no corrections) is 480 meV/atom. The value obtained for the total energy is -325.49 eV/cell.

```
data_TaCd2Te
_chemical_formula_sum 'Ta2 Cd4 Te2'
_space_group_name_H-M_alt 'I 4/m m m'
_space_group_IT_number 139
_space_group_name_Hall '-I 4 2'
_cell_length_a 4.0163
_cell_length_b 4.0163
_cell_length_c 10.1886
_cell_angle_alpha 90.00
_cell_angle_beta 90.00
_cell_angle_gamma 90.00
loop_
_atom_site_label
_atom_site_fract_x
_atom_site_fract_y
_atom_site_fract_z
Ta1 0.0000 0.0000 0.0000
Cd1 0.0000 0.5000 0.2500
Te1 0.0000 0.0000 0.5000
```

=====

Material: Be2PtPb
Method: DFT, SCAN
State: single point on PBEsol structure

## Properties
The value obtained for the total energy is -310.31 eV/cell. As for the formation enthalpy at 0 K: -0.12 eV per atom.

```
data_Be2PtPb
_chemical_formula_sum 'Be4 Pt2 Pb2'
_space_group_name_H-M_alt 'I m m 2'
_space_group_IT_number 44
_space_group_name_Hall 'I 2 -2'
_cell_length_a 3.0515
_cell_length_b 3.4847
_cell_length_c 12.1931
_cell_angle_alpha 90.00
_cell_angle_beta 90.00
_cell_angle_gamma 90.00
loop_
_atom_site_label
_atom_site_fract_x
_atom_site_fract_y
_atom_site_fract_z
Be1 0.0000 0.0000 0.0000
Be2 0.0000 0.5000 0.1354
Pt1 0.0000 0.5000 0.6390
Pb1 0.0000 0.0000 0.3596
```

=====

Question: What is the formula in the tenth record?
Answer: Li5SbS